No. 1
# Cs2PmMoO6 GGA+U relaxed
data_Cs2PmMoO6
_symmetry_space_group_name_H-M 'P 1'
_symmetry_Int_Tables_number 1
_symmetry_space_group_name_Hall 'P 1'
_cell_length_a 6.841
_cell_length_b 6.841
_cell_length_c 6.037
_cell_angle_alpha 90.00
_cell_angle_beta 90.00
_cell_angle_gamma 120.00
loop_
_atom_site_label
_atom_site_type_symbol
_atom_site_fract_x
_atom_site_fract_y
_atom_site_fract_z
_atom_site_occupancy
Cs1 Cs 0.333 0.667 0.386 1
Cs2 Cs 0.667 0.333 0.614 1
Pm1 Pm 0.000 0.000 0.000 1
Mo1 Mo 0.000 0.000 0.500 1
O1 O 0.130 0.259 0.701 1
O2 O 0.130 0.870 0.701 1
O3 O 0.259 0.130 0.299 1
O4 O 0.741 0.870 0.701 1
O5 O 0.870 0.130 0.299 1
O6 O 0.870 0.741 0.299 1
# E	-6.19	eV per atom
# symmetry	P-3m1 (164)
# crystal system	trigonal



No. 2
# Cs2PmMo3O12 GGA+U relaxed
data_Cs2PmMo3O12
_symmetry_space_group_name_H-M 'P 1'
_symmetry_Int_Tables_number 1
_symmetry_space_group_name_Hall 'P 1'
_cell_length_a 7.740
_cell_length_b 7.740
_cell_length_c 7.740
_cell_angle_alpha 58.28
_cell_angle_beta 58.28
_cell_angle_gamma 58.28
loop_
_atom_site_label
_atom_site_type_symbol
_atom_site_fract_x
_atom_site_fract_y
_atom_site_fract_z
_atom_site_occupancy
Cs1 Cs 0.122 0.122 0.122 1
Cs2 Cs 0.878 0.878 0.878 1
Pm1 Pm 0.500 0.500 0.500 1
Mo1 Mo 0.000 0.500 0.500 1
Mo2 Mo 0.500 0.000 0.500 1
Mo3 Mo 0.500 0.500 0.000 1
O1 O 0.136 0.578 0.578 1
O2 O 0.203 0.203 0.567 1
O3 O 0.203 0.567 0.203 1
O4 O 0.422 0.422 0.864 1
O5 O 0.422 0.864 0.422 1
O6 O 0.433 0.797 0.797 1
O7 O 0.567 0.203 0.203 1
O8 O 0.578 0.136 0.578 1
O9 O 0.578 0.578 0.136 1
O10 O 0.797 0.433 0.797 1
O11 O 0.797 0.797 0.433 1
O12 O 0.864 0.422 0.422 1
# E	-6.69	eV per atom
# symmetry	R-3m (166)
# crystal system	trigonal



No. 3
# CsPmMoO5 GGA+U relaxed
data_CsPmMoO5
_symmetry_space_group_name_H-M 'P 1'
_symmetry_Int_Tables_number 1
_symmetry_space_group_name_Hall 'P 1'
_cell_length_a 6.753
_cell_length_b 6.753
_cell_length_c 8.464
_cell_angle_alpha 105.20
_cell_angle_beta 105.20
_cell_angle_gamma 106.14
loop_
_atom_site_label
_atom_site_type_symbol
_atom_site_fract_x
_atom_site_fract_y
_atom_site_fract_z
_atom_site_occupancy
Cs1 Cs 0.175 0.825 0.750 1
Cs2 Cs 0.825 0.175 0.250 1
Pm1 Pm 0.500 0.500 0.000 1
Pm2 Pm 0.500 0.500 0.500 1
Mo1 Mo 0.190 0.810 0.250 1
Mo2 Mo 0.810 0.190 0.750 1
O1 O 0.092 0.275 0.892 1
O2 O 0.211 0.636 0.378 1
O3 O 0.275 0.092 0.392 1
O4 O 0.364 0.789 0.122 1
O5 O 0.436 0.564 0.750 1
O6 O 0.564 0.436 0.250 1
O7 O 0.636 0.211 0.878 1
O8 O 0.725 0.908 0.608 1
O9 O 0.789 0.364 0.622 1
O10 O 0.908 0.725 0.108 1
# E	-6.92	eV per atom
# symmetry	C2/c (15)
# crystal system	monoclinic



No. 4
# Cs3PrMo3O12 GGA+U relaxed
data_Cs3PrMo3O12
_symmetry_space_group_name_H-M 'P 1'
_symmetry_Int_Tables_number 1
_symmetry_space_group_name_Hall 'P 1'
_cell_length_a 9.609
_cell_length_b 6.517
_cell_length_c 26.178
_cell_angle_alpha 90.00
_cell_angle_beta 90.00
_cell_angle_gamma 90.00
loop_
_atom_site_label
_atom_site_type_symbol
_atom_site_fract_x
_atom_site_fract_y
_atom_site_fract_z
_atom_site_occupancy
Cs1 Cs 0.023 0.250 0.091 1
Cs2 Cs 0.089 0.250 0.681 1
Cs3 Cs 0.184 0.250 0.255 1
Cs4 Cs 0.316 0.750 0.755 1
Cs5 Cs 0.411 0.750 0.181 1
Cs6 Cs 0.477 0.750 0.591 1
Cs7 Cs 0.523 0.250 0.409 1
Cs8 Cs 0.589 0.250 0.819 1
Cs9 Cs 0.684 0.250 0.245 1
Cs10 Cs 0.816 0.750 0.745 1
Cs11 Cs 0.911 0.750 0.319 1
Cs12 Cs 0.977 0.750 0.909 1
Pr1 Pr 0.181 0.750 0.460 1
Pr2 Pr 0.319 0.250 0.960 1
Pr3 Pr 0.681 0.750 0.040 1
Pr4 Pr 0.819 0.250 0.540 1
Mo1 Mo 0.021 0.750 0.601 1
Mo2 Mo 0.118 0.250 0.825 1
Mo3 Mo 0.247 0.750 0.025 1
Mo4 Mo 0.253 0.250 0.525 1
Mo5 Mo 0.382 0.750 0.325 1
Mo6 Mo 0.479 0.250 0.101 1
Mo7 Mo 0.521 0.750 0.899 1
Mo8 Mo 0.618 0.250 0.675 1
Mo9 Mo 0.747 0.750 0.475 1
Mo10 Mo 0.753 0.250 0.975 1
Mo11 Mo 0.882 0.750 0.175 1
Mo12 Mo 0.979 0.250 0.399 1
O1 O 0.025 0.023 0.806 1
O2 O 0.025 0.477 0.806 1
O3 O 0.067 0.250 0.517 1
O4 O 0.083 0.020 0.404 1
O5 O 0.083 0.480 0.404 1
O6 O 0.095 0.750 0.664 1
O7 O 0.150 0.250 0.893 1
O8 O 0.160 0.750 0.556 1
O9 O 0.176 0.527 0.993 1
O10 O 0.176 0.973 0.993 1
O11 O 0.203 0.750 0.091 1
O12 O 0.221 0.750 0.290 1
O13 O 0.279 0.250 0.790 1
O14 O 0.297 0.250 0.591 1
O15 O 0.324 0.027 0.493 1
O16 O 0.324 0.473 0.493 1
O17 O 0.340 0.250 0.056 1
O18 O 0.350 0.750 0.393 1
O19 O 0.405 0.250 0.164 1
O20 O 0.417 0.520 0.904 1
O21 O 0.417 0.980 0.904 1
O22 O 0.433 0.750 0.017 1
O23 O 0.475 0.523 0.306 1
O24 O 0.475 0.977 0.306 1
O25 O 0.525 0.023 0.694 1
O26 O 0.525 0.477 0.694 1
O27 O 0.567 0.250 0.983 1
O28 O 0.583 0.020 0.096 1
O29 O 0.583 0.480 0.096 1
O30 O 0.595 0.750 0.836 1
O31 O 0.650 0.250 0.607 1
O32 O 0.660 0.750 0.944 1
O33 O 0.676 0.527 0.507 1
O34 O 0.676 0.973 0.507 1
O35 O 0.703 0.750 0.409 1
O36 O 0.721 0.750 0.210 1
O37 O 0.779 0.250 0.710 1
O38 O 0.797 0.250 0.909 1
O39 O 0.824 0.027 0.007 1
O40 O 0.824 0.473 0.007 1
O41 O 0.840 0.250 0.444 1
O42 O 0.850 0.750 0.107 1
O43 O 0.905 0.250 0.336 1
O44 O 0.917 0.520 0.596 1
O45 O 0.917 0.980 0.596 1
O46 O 0.933 0.750 0.483 1
O47 O 0.975 0.523 0.194 1
O48 O 0.975 0.977 0.194 1
# E	-6.71	eV per atom
# symmetry	Pnma (62)
# crystal system	orthorhombic



No. 5
# CsPrMoO5 GGA+U relaxed
data_CsPrMoO5
_symmetry_space_group_name_H-M 'P 1'
_symmetry_Int_Tables_number 1
_symmetry_space_group_name_Hall 'P 1'
_cell_length_a 6.815
_cell_length_b 6.815
_cell_length_c 8.562
_cell_angle_alpha 105.22
_cell_angle_beta 105.22
_cell_angle_gamma 106.13
loop_
_atom_site_label
_atom_site_type_symbol
_atom_site_fract_x
_atom_site_fract_y
_atom_site_fract_z
_atom_site_occupancy
Cs1 Cs 0.175 0.825 0.750 1
Cs2 Cs 0.825 0.175 0.250 1
Pr1 Pr 0.500 0.500 0.000 1
Pr2 Pr 0.500 0.500 0.500 1
Mo1 Mo 0.190 0.810 0.250 1
Mo2 Mo 0.810 0.190 0.750 1
O1 O 0.089 0.273 0.891 1
O2 O 0.208 0.637 0.376 1
O3 O 0.273 0.089 0.391 1
O4 O 0.363 0.792 0.124 1
O5 O 0.433 0.567 0.750 1
O6 O 0.567 0.433 0.250 1
O7 O 0.637 0.208 0.876 1
O8 O 0.727 0.911 0.609 1
O9 O 0.792 0.363 0.624 1
O10 O 0.911 0.727 0.109 1
# E	-6.90	eV per atom
# symmetry	C2/c (15)
# crystal system	monoclinic



No. 6
# CsMo2PtO8 GGA+U relaxed
data_CsMo2PtO8
_symmetry_space_group_name_H-M 'P 1'
_symmetry_Int_Tables_number 1
_symmetry_space_group_name_Hall 'P 1'
_cell_length_a 5.532
_cell_length_b 5.532
_cell_length_c 8.811
_cell_angle_alpha 90.00
_cell_angle_beta 90.00
_cell_angle_gamma 120.00
loop_
_atom_site_label
_atom_site_type_symbol
_atom_site_fract_x
_atom_site_fract_y
_atom_site_fract_z
_atom_site_occupancy
Cs1 Cs 0.000 0.000 0.000 1
Mo1 Mo 0.333 0.667 0.699 1
Mo2 Mo 0.667 0.333 0.301 1
Pt1 Pt 0.000 0.000 0.500 1
O1 O 0.053 0.325 0.638 1
O2 O 0.272 0.947 0.638 1
O3 O 0.325 0.272 0.362 1
O4 O 0.333 0.667 0.898 1
O5 O 0.667 0.333 0.102 1
O6 O 0.675 0.728 0.638 1
O7 O 0.728 0.053 0.362 1
O8 O 0.947 0.675 0.362 1
# E	-6.42	eV per atom
# symmetry	P-3 (147)
# crystal system	trigonal



No. 7
# CsMoPtO2 GGA+U relaxed
data_CsMoPtO2
_symmetry_space_group_name_H-M 'P 1'
_symmetry_Int_Tables_number 1
_symmetry_space_group_name_Hall 'P 1'
_cell_length_a 3.979
_cell_length_b 3.979
_cell_length_c 9.210
_cell_angle_alpha 90.00
_cell_angle_beta 90.00
_cell_angle_gamma 90.00
loop_
_atom_site_label
_atom_site_type_symbol
_atom_site_fract_x
_atom_site_fract_y
_atom_site_fract_z
_atom_site_occupancy
Cs1 Cs 0.000 0.000 0.000 1
Mo1 Mo 0.000 0.000 0.500 1
Pt1 Pt 0.500 0.500 0.000 1
O1 O 0.000 0.500 0.500 1
O2 O 0.500 0.000 0.500 1
# E	-4.97	eV per atom
# symmetry	P4/mmm (123)
# crystal system	tetragonal



No. 8
# Cs2PuMoO6 GGA+U relaxed
data_Cs2PuMoO6
_symmetry_space_group_name_H-M 'P 1'
_symmetry_Int_Tables_number 1
_symmetry_space_group_name_Hall 'P 1'
_cell_length_a 6.046
_cell_length_b 6.046
_cell_length_c 6.046
_cell_angle_alpha 60.00
_cell_angle_beta 60.00
_cell_angle_gamma 60.00
loop_
_atom_site_label
_atom_site_type_symbol
_atom_site_fract_x
_atom_site_fract_y
_atom_site_fract_z
_atom_site_occupancy
Cs1 Cs 0.250 0.250 0.250 1
Cs2 Cs 0.750 0.750 0.750 1
Pu1 Pu 0.000 0.000 0.000 1
Mo1 Mo 0.500 0.500 0.500 1
O1 O 0.267 0.267 0.733 1
O2 O 0.267 0.733 0.267 1
O3 O 0.267 0.733 0.733 1
O4 O 0.733 0.267 0.267 1
O5 O 0.733 0.267 0.733 1
O6 O 0.733 0.733 0.267 1
# E	-7.28	eV per atom
# symmetry	Fm-3m (225)
# crystal system	cubic



No. 9
# Cs2RbMo2O7 GGA+U relaxed
data_Cs2RbMo2O7
_symmetry_space_group_name_H-M 'P 1'
_symmetry_Int_Tables_number 1
_symmetry_space_group_name_Hall 'P 1'
_cell_length_a 9.282
_cell_length_b 9.282
_cell_length_c 9.282
_cell_angle_alpha 44.02
_cell_angle_beta 44.02
_cell_angle_gamma 44.02
loop_
_atom_site_label
_atom_site_type_symbol
_atom_site_fract_x
_atom_site_fract_y
_atom_site_fract_z
_atom_site_occupancy
Cs1 Cs 0.229 0.229 0.229 1
Cs2 Cs 0.771 0.771 0.771 1
Rb1 Rb 0.500 0.500 0.500 1
Mo1 Mo 0.076 0.076 0.076 1
Mo2 Mo 0.924 0.924 0.924 1
O1 O 0.000 0.000 0.000 1
O2 O 0.170 0.702 0.824 1
O3 O 0.176 0.298 0.830 1
O4 O 0.298 0.830 0.176 1
O5 O 0.702 0.824 0.170 1
O6 O 0.824 0.170 0.702 1
O7 O 0.830 0.176 0.298 1
# E	-6.00	eV per atom
# symmetry	R32 (155)
# crystal system	trigonal



No. 10
# Cs2Rb2MoO4 GGA+U relaxed
data_Cs2Rb2MoO4
_symmetry_space_group_name_H-M 'P 1'
_symmetry_Int_Tables_number 1
_symmetry_space_group_name_Hall 'P 1'
_cell_length_a 6.667
_cell_length_b 6.667
_cell_length_c 6.667
_cell_angle_alpha 120.07
_cell_angle_beta 120.07
_cell_angle_gamma 89.88
loop_
_atom_site_label
_atom_site_type_symbol
_atom_site_fract_x
_atom_site_fract_y
_atom_site_fract_z
_atom_site_occupancy
Cs1 Cs 0.250 0.750 0.500 1
Cs2 Cs 0.750 0.250 0.500 1
Rb1 Rb 0.152 0.152 0.000 1
Rb2 Rb 0.848 0.848 0.000 1
Mo1 Mo 0.500 0.500 0.000 1
O1 O 0.294 0.294 0.588 1
O2 O 0.294 0.706 0.000 1
O3 O 0.706 0.294 0.000 1
O4 O 0.706 0.706 0.412 1
# E	-4.59	eV per atom
# symmetry	I4/mmm (139)
# crystal system	tetragonal



No. 11
# CsRbMoO4 GGA+U relaxed
data_CsRbMoO4
_symmetry_space_group_name_H-M 'P 1'
_symmetry_Int_Tables_number 1
_symmetry_space_group_name_Hall 'P 1'
_cell_length_a 5.871
_cell_length_b 6.563
_cell_length_c 8.650
_cell_angle_alpha 90.00
_cell_angle_beta 104.39
_cell_angle_gamma 90.00
loop_
_atom_site_label
_atom_site_type_symbol
_atom_site_fract_x
_atom_site_fract_y
_atom_site_fract_z
_atom_site_occupancy
Cs1 Cs 0.145 0.250 0.114 1
Cs2 Cs 0.855 0.750 0.886 1
Rb1 Rb 0.214 0.750 0.530 1
Rb2 Rb 0.786 0.250 0.470 1
Mo1 Mo 0.396 0.250 0.735 1
Mo2 Mo 0.604 0.750 0.265 1
O1 O 0.280 0.025 0.805 1
O2 O 0.280 0.475 0.805 1
O3 O 0.287 0.750 0.207 1
O4 O 0.305 0.250 0.518 1
O5 O 0.695 0.750 0.482 1
O6 O 0.713 0.250 0.793 1
O7 O 0.720 0.525 0.195 1
O8 O 0.720 0.975 0.195 1
# E	-5.97	eV per atom
# symmetry	P2_1/m (11)
# crystal system	monoclinic



No. 12
# CsRb2Mo2O7 GGA+U relaxed
data_CsRb2Mo2O7
_symmetry_space_group_name_H-M 'P 1'
_symmetry_Int_Tables_number 1
_symmetry_space_group_name_Hall 'P 1'
_cell_length_a 9.360
_cell_length_b 9.360
_cell_length_c 9.360
_cell_angle_alpha 43.90
_cell_angle_beta 43.90
_cell_angle_gamma 43.90
loop_
_atom_site_label
_atom_site_type_symbol
_atom_site_fract_x
_atom_site_fract_y
_atom_site_fract_z
_atom_site_occupancy
Cs1 Cs 0.000 0.000 0.000 1
Rb1 Rb 0.277 0.277 0.277 1
Rb2 Rb 0.723 0.723 0.723 1
Mo1 Mo 0.424 0.424 0.424 1
Mo2 Mo 0.576 0.576 0.576 1
O1 O 0.168 0.381 0.649 1
O2 O 0.351 0.619 0.832 1
O3 O 0.381 0.649 0.168 1
O4 O 0.500 0.500 0.500 1
O5 O 0.619 0.832 0.351 1
O6 O 0.649 0.168 0.381 1
O7 O 0.832 0.351 0.619 1
# E	-6.00	eV per atom
# symmetry	R32 (155)
# crystal system	trigonal